# 1
The following is a PBE calculation of RbBa4Sr4 after structural relaxation, from Alexandria via LeMat-Bulk.

Results
Final energy   -1.65 eV/atom
Crystal system   tetragonal
ΔE_f   0.056 eV/atom

a b c (Å): 6.394 9.842 9.842
angles (deg): 83.94 71.04 71.04
Positions (direct):
Ba 0.669 0.331 0.331
Ba 0.000 0.669 0.331
Ba 0.331 0.669 0.669
Ba 0.000 0.331 0.669
Sr 0.670 0.661 0.000
Sr 0.330 0.000 0.339
Sr 0.330 0.339 0.000
Sr 0.670 0.000 0.661
Rb 0.000 0.000 0.000

# 2
The following is a PBE calculation of LiCd12Ga6 after structural relaxation, from Alexandria via LeMat-Bulk.

Results
Final energy   -1.62 eV/atom
Crystal system   trigonal
ΔE_f   0.017 eV/atom

a b c (Å): 7.843 7.843 7.843
angles (deg): 105.64 105.64 105.64
Positions (direct):
Cd 0.938 0.850 0.298
Cd 0.150 0.702 0.062
Cd 0.850 0.298 0.938
Cd 0.190 0.650 0.449
Cd 0.298 0.938 0.850
Cd 0.650 0.449 0.190
Cd 0.449 0.190 0.650
Cd 0.810 0.350 0.551
Cd 0.062 0.150 0.702
Cd 0.350 0.551 0.810
Cd 0.702 0.062 0.150
Cd 0.551 0.810 0.350
Ga 0.738 0.613 0.878
Ga 0.387 0.122 0.262
Ga 0.613 0.878 0.738
Ga 0.262 0.387 0.122
Ga 0.878 0.738 0.613
Ga 0.122 0.262 0.387
Li 0.000 0.000 0.000

# 3
The following is a PBE calculation of KAl2Zn2 after structural relaxation, from Alexandria via LeMat-Bulk.

Results
Final energy   -2.12 eV/atom
Crystal system   tetragonal
ΔE_f   0.111 eV/atom
Relative energy among the computed polymorphs   60 meV per atom

a b c (Å): 8.532 8.532 2.741
angles (deg): 90.00 90.00 90.00
Positions (direct):
K 0.000 0.000 0.000
K 0.500 0.500 0.000
Zn 0.843 0.343 0.500
Zn 0.657 0.843 0.500
Zn 0.157 0.657 0.500
Zn 0.343 0.157 0.500
Al 0.370 0.870 0.000
Al 0.630 0.130 0.000
Al 0.870 0.630 0.000
Al 0.130 0.370 0.000

# 4
The following is a PBE calculation of BePd3O after structural relaxation, from Alexandria via LeMat-Bulk.

Results
Final energy   -4.68 eV/atom
Formation energy (no corrections)   0.172 eV/atom
Crystal system   cubic
Relative energy among the computed polymorphs   0 meV per atom

a b c (Å): 4.142 4.142 4.142
angles (deg): 90.00 90.00 90.00
Positions (direct):
Pd 0.000 0.500 0.000
Pd 0.500 0.000 0.000
Pd 0.000 0.000 0.500
O 0.000 0.000 0.000
Be 0.500 0.500 0.500

Q: Which DOS(E_F) values were calculated for the entries above? A: 10.665 6.742 2.386 1.254, in states/eV/f.u..